Entry 1:
# Ac3Ge2BiPt9 (PBE, relaxed)
data_Ac3Ge2BiPt9
_chemical_formula_sum 'Ac3 Ge2 Bi1 Pt9'
_cell_length_a 7.6945
_cell_length_b 7.6945
_cell_length_c 6.9407
_cell_angle_alpha 90.00
_cell_angle_beta 90.00
_cell_angle_gamma 120.00
_space_group_name_H-M_alt 'P 1'
_space_group_IT_number 1
_space_group_name_Hall 'P 1'
loop_
_atom_site_label
_atom_site_type_symbol
_atom_site_fract_x
_atom_site_fract_y
_atom_site_fract_z
Ac1 Ac 0.3333 0.6667 0.6517
Ac2 Ac 0.0000 0.0000 0.0000
Ac3 Ac 0.6667 0.3333 0.3483
Ge1 Ge 0.3333 0.6667 0.1376
Ge2 Ge 0.6667 0.3333 0.8624
Bi1 Bi 0.0000 0.0000 0.5000
Pt1 Pt 0.8248 0.1752 0.6928
Pt2 Pt 0.8248 0.6496 0.6928
Pt3 Pt 0.3504 0.1752 0.6928
Pt4 Pt 0.6496 0.8248 0.3072
Pt5 Pt 0.1752 0.3504 0.3072
Pt6 Pt 0.1752 0.8248 0.3072
Pt7 Pt 0.5000 0.0000 0.0000
Pt8 Pt 0.0000 0.5000 0.0000
Pt9 Pt 0.5000 0.5000 0.0000
# Size of the total moment = 0.0 μB per formula unit
# Total DFT energy (no corrections) = -5.844 eV per atom
# D(E_F) = 0.5766 states/eV/atom
# Crystal system = trigonal
# SG = P-3m1 (164)



Entry 2:
# Zn4CoNi (PBE, relaxed)
data_Zn4CoNi
_chemical_formula_sum 'Zn4 Co1 Ni1'
_cell_length_a 4.0329
_cell_length_b 4.0367
_cell_length_c 6.8928
_cell_angle_alpha 73.09
_cell_angle_beta 72.99
_cell_angle_gamma 60.03
_space_group_name_H-M_alt 'P 1'
_space_group_IT_number 1
_space_group_name_Hall 'P 1'
loop_
_atom_site_label
_atom_site_type_symbol
_atom_site_fract_x
_atom_site_fract_y
_atom_site_fract_z
Zn1 Zn 0.6270 0.6268 0.1191
Zn2 Zn 0.3730 0.3732 0.8809
Zn3 Zn 0.1250 0.1248 0.6252
Zn4 Zn 0.8750 0.8752 0.3748
Co1 Co 0.0000 0.0000 0.0000
Ni1 Ni 0.5000 0.5000 0.5000
# Size of the total moment = 0.0 μB per formula unit
# Total DFT energy (no corrections) = -2.863 eV per atom
# D(E_F) = 0.5885 states/eV/atom
# Polymorph energy (0 for the lowest one) = 237 meV per atom
# Crystal system = monoclinic
# SG = C2/m (12)